Run A
A PBEsol-optimized structure of KGa2Ag2. Source: the Alexandria database, functional SCAN.

Theoretical density   5.9 g cm⁻³

Structure (CIF):
```
data_KGa2Ag2
_chemical_formula_sum 'K2 Ga4 Ag4'
_space_group_name_H-M_alt 'I 4/m m m'
_space_group_IT_number 139
_space_group_name_Hall '-I 4 2'
_cell_length_a 4.4476
_cell_length_b 4.4476
_cell_length_c 11.2776
_cell_angle_alpha 90.00
_cell_angle_beta 90.00
_cell_angle_gamma 90.00
loop_
_atom_site_label
_atom_site_type_symbol
_atom_site_fract_x
_atom_site_fract_y
_atom_site_fract_z
K1 K 0.0000 0.0000 0.0000
Ga1 Ga 0.0000 0.5000 0.2500
Ag1 Ag 0.0000 0.0000 0.3762
```


Run B
A PBEsol-optimized structure of KGa2Ag2. Source: the Alexandria database, functional SCAN.

Theoretical density   6.7 g cm⁻³

Structure (CIF):
```
data_KGa2Ag2
_chemical_formula_sum 'K2 Ga4 Ag4'
_space_group_name_H-M_alt 'P 4/m b m'
_space_group_IT_number 127
_space_group_name_Hall '-P 4 2ab'
_cell_length_a 8.4187
_cell_length_b 8.4187
_cell_length_c 2.7482
_cell_angle_alpha 90.00
_cell_angle_beta 90.00
_cell_angle_gamma 90.00
loop_
_atom_site_label
_atom_site_type_symbol
_atom_site_fract_x
_atom_site_fract_y
_atom_site_fract_z
K1 K 0.0000 0.0000 0.0000
Ga1 Ga 0.1363 0.3637 0.5000
Ag1 Ag 0.1545 0.6545 0.0000
```


run B takes first place; second place is 0.021 eV/atom up.


Run A
A PBEsol-optimized structure of Li2GaAg2. Source: the Alexandria database, functional SCAN.

Theoretical density   6.2 g cm⁻³

Structure (CIF):
```
data_Li2GaAg2
_chemical_formula_sum 'Li4 Ga2 Ag4'
_space_group_name_H-M_alt 'P 4/m b m'
_space_group_IT_number 127
_space_group_name_Hall '-P 4 2ab'
_cell_length_a 6.9134
_cell_length_b 6.9134
_cell_length_c 3.3549
_cell_angle_alpha 90.00
_cell_angle_beta 90.00
_cell_angle_gamma 90.00
loop_
_atom_site_label
_atom_site_type_symbol
_atom_site_fract_x
_atom_site_fract_y
_atom_site_fract_z
Li1 Li 0.1592 0.3408 0.0000
Ga1 Ga 0.0000 0.0000 0.5000
Ag1 Ag 0.1431 0.6431 0.5000
```


Run B
A PBEsol-optimized structure of Li2GaAg2. Source: the Alexandria database, functional SCAN.

Theoretical density   5.9 g cm⁻³

Structure (CIF):
```
data_Li2GaAg2
_chemical_formula_sum 'Li4 Ga2 Ag4'
_space_group_name_H-M_alt 'I 4/m m m'
_space_group_IT_number 139
_space_group_name_Hall '-I 4 2'
_cell_length_a 3.5043
_cell_length_b 3.5043
_cell_length_c 13.7429
_cell_angle_alpha 90.00
_cell_angle_beta 90.00
_cell_angle_gamma 90.00
loop_
_atom_site_label
_atom_site_type_symbol
_atom_site_fract_x
_atom_site_fract_y
_atom_site_fract_z
Li1 Li 0.0000 0.5000 0.2500
Ga1 Ga 0.0000 0.0000 0.0000
Ag1 Ag 0.0000 0.0000 0.3994
```


run A takes first place; second place is 0.251 eV/atom up.


Run A
A PBEsol-optimized structure of NaGa2Ag2. Source: the Alexandria database, functional SCAN.

Theoretical density   6.3 g cm⁻³

Structure (CIF):
```
data_NaGa2Ag2
_chemical_formula_sum 'Na2 Ga4 Ag4'
_space_group_name_H-M_alt 'I 4/m m m'
_space_group_IT_number 139
_space_group_name_Hall '-I 4 2'
_cell_length_a 4.0589
_cell_length_b 4.0589
_cell_length_c 12.1425
_cell_angle_alpha 90.00
_cell_angle_beta 90.00
_cell_angle_gamma 90.00
loop_
_atom_site_label
_atom_site_type_symbol
_atom_site_fract_x
_atom_site_fract_y
_atom_site_fract_z
Na1 Na 0.0000 0.0000 0.0000
Ga1 Ga 0.0000 0.5000 0.2500
Ag1 Ag 0.0000 0.0000 0.3891
```


Run B
A PBEsol-optimized structure of NaGa2Ag2. Source: the Alexandria database, functional SCAN.

Theoretical density   6.9 g cm⁻³

Structure (CIF):
```
data_NaGa2Ag2
_chemical_formula_sum 'Na2 Ga4 Ag4'
_space_group_name_H-M_alt 'P 4/m b m'
_space_group_IT_number 127
_space_group_name_Hall '-P 4 2ab'
_cell_length_a 7.9221
_cell_length_b 7.9221
_cell_length_c 2.8807
_cell_angle_alpha 90.00
_cell_angle_beta 90.00
_cell_angle_gamma 90.00
loop_
_atom_site_label
_atom_site_type_symbol
_atom_site_fract_x
_atom_site_fract_y
_atom_site_fract_z
Na1 Na 0.0000 0.0000 0.0000
Ga1 Ga 0.1593 0.3407 0.5000
Ag1 Ag 0.1370 0.6370 0.0000
```


run B takes first place; second place is 0.060 eV/atom up.


Run A
A PBEsol-optimized structure of Ga2Ni2Ag. Source: the Alexandria database, functional SCAN.

Theoretical density   9.2 g cm⁻³

Structure (CIF):
```
data_Ga2Ni2Ag
_chemical_formula_sum 'Ga4 Ni4 Ag2'
_space_group_name_H-M_alt 'P 4/m b m'
_space_group_IT_number 127
_space_group_name_Hall '-P 4 2ab'
_cell_length_a 6.9171
_cell_length_b 6.9171
_cell_length_c 2.7380
_cell_angle_alpha 90.00
_cell_angle_beta 90.00
_cell_angle_gamma 90.00
loop_
_atom_site_label
_atom_site_type_symbol
_atom_site_fract_x
_atom_site_fract_y
_atom_site_fract_z
Ga1 Ga 0.1463 0.3537 0.0000
Ni1 Ni 0.1481 0.6481 0.5000
Ag1 Ag 0.0000 0.0000 0.0000
```


Run B
A PBEsol-optimized structure of Ga2Ni2Ag. Source: the Alexandria database, functional SCAN.

Theoretical density   8.4 g cm⁻³

Structure (CIF):
```
data_Ga2Ni2Ag
_chemical_formula_sum 'Ga4 Ni4 Ag2'
_space_group_name_H-M_alt 'I 4/m m m'
_space_group_IT_number 139
_space_group_name_Hall '-I 4 2'
_cell_length_a 3.6122
_cell_length_b 3.6122
_cell_length_c 10.9859
_cell_angle_alpha 90.00
_cell_angle_beta 90.00
_cell_angle_gamma 90.00
loop_
_atom_site_label
_atom_site_type_symbol
_atom_site_fract_x
_atom_site_fract_y
_atom_site_fract_z
Ga1 Ga 0.0000 0.0000 0.1128
Ni1 Ni 0.0000 0.5000 0.2500
Ag1 Ag 0.0000 0.0000 0.5000
```


run A takes first place; second place is 0.221 eV/atom up.


Run A
A PBEsol-optimized structure of TlGa2Ag2. Source: the Alexandria database, functional SCAN.

Theoretical density   9.7 g cm⁻³

Structure (CIF):
```
data_TlGa2Ag2
_chemical_formula_sum 'Tl2 Ga4 Ag4'
_space_group_name_H-M_alt 'P 4/m b m'
_space_group_IT_number 127
_space_group_name_Hall '-P 4 2ab'
_cell_length_a 8.0467
_cell_length_b 8.0467
_cell_length_c 2.9463
_cell_angle_alpha 90.00
_cell_angle_beta 90.00
_cell_angle_gamma 90.00
loop_
_atom_site_label
_atom_site_type_symbol
_atom_site_fract_x
_atom_site_fract_y
_atom_site_fract_z
Tl1 Tl 0.0000 0.0000 0.0000
Ga1 Ga 0.1697 0.3303 0.5000
Ag1 Ag 0.1269 0.6269 0.0000
```


Run B
A PBEsol-optimized structure of TlGa2Ag2. Source: the Alexandria database, functional SCAN.

Theoretical density   9.5 g cm⁻³

Structure (CIF):
```
data_TlGa2Ag2
_chemical_formula_sum 'Tl2 Ga4 Ag4'
_space_group_name_H-M_alt 'I 4/m m m'
_space_group_IT_number 139
_space_group_name_Hall '-I 4 2'
_cell_length_a 3.8691
_cell_length_b 3.8691
_cell_length_c 13.0437
_cell_angle_alpha 90.00
_cell_angle_beta 90.00
_cell_angle_gamma 90.00
loop_
_atom_site_label
_atom_site_type_symbol
_atom_site_fract_x
_atom_site_fract_y
_atom_site_fract_z
Tl1 Tl 0.0000 0.0000 0.0000
Ga1 Ga 0.0000 0.5000 0.2500
Ag1 Ag 0.0000 0.0000 0.3934
```


run B takes first place; second place is 0.035 eV/atom up.


Run A
A PBEsol-optimized structure of AgH3Pt. Source: the Alexandria database, functional SCAN.

Theoretical density   11.6 g cm⁻³

Structure (CIF):
```
data_AgH3Pt
_chemical_formula_sum 'Ag1 H3 Pt1'
_space_group_name_H-M_alt 'P m -3 m'
_space_group_IT_number 221
_space_group_name_Hall '-P 4 2 3'
_cell_length_a 3.5265
_cell_length_b 3.5265
_cell_length_c 3.5265
_cell_angle_alpha 90.00
_cell_angle_beta 90.00
_cell_angle_gamma 90.00
loop_
_atom_site_label
_atom_site_type_symbol
_atom_site_fract_x
_atom_site_fract_y
_atom_site_fract_z
Ag1 Ag 0.0000 0.0000 0.0000
H1 H 0.0000 0.0000 0.5000
Pt1 Pt 0.5000 0.5000 0.5000
```


Run B
A PBEsol-optimized structure of AgH3Pt. Source: the Alexandria database, functional SCAN.

Theoretical density   11.4 g cm⁻³

Structure (CIF):
```
data_AgH3Pt
_chemical_formula_sum 'Ag1 H3 Pt1'
_space_group_name_H-M_alt 'P m -3 m'
_space_group_IT_number 221
_space_group_name_Hall '-P 4 2 3'
_cell_length_a 3.5440
_cell_length_b 3.5440
_cell_length_c 3.5440
_cell_angle_alpha 90.00
_cell_angle_beta 90.00
_cell_angle_gamma 90.00
loop_
_atom_site_label
_atom_site_type_symbol
_atom_site_fract_x
_atom_site_fract_y
_atom_site_fract_z
Ag1 Ag 0.0000 0.0000 0.0000
H1 H 0.0000 0.5000 0.5000
Pt1 Pt 0.5000 0.5000 0.5000
```


run B takes first place; second place is 0.777 eV/atom up.


Run A
A PBEsol-optimized structure of AgH3Rh. Source: the Alexandria database, functional SCAN.

Theoretical density   8.3 g cm⁻³

Structure (CIF):
```
data_AgH3Rh
_chemical_formula_sum 'Ag2 H6 Rh2'
_space_group_name_H-M_alt 'C 1 m 1'
_space_group_IT_number 8
_space_group_name_Hall 'C -2y'
_cell_length_a 10.2749
_cell_length_b 3.0434
_cell_length_c 2.8333
_cell_angle_alpha 90.00
_cell_angle_beta 103.98
_cell_angle_gamma 90.00
loop_
_atom_site_label
_atom_site_type_symbol
_atom_site_fract_x
_atom_site_fract_y
_atom_site_fract_z
Ag1 Ag 0.0000 0.0000 0.0000
H1 H 0.1718 0.0000 0.7086
H2 H 0.2036 0.5000 0.2448
H3 H 0.3831 0.0000 0.8948
Rh1 Rh 0.2779 0.0000 0.3037
```


Run B
A PBEsol-optimized structure of AgH3Rh. Source: the Alexandria database, functional SCAN.

Theoretical density   8.7 g cm⁻³

Structure (CIF):
```
data_AgH3Rh
_chemical_formula_sum 'Ag1 H3 Rh1'
_space_group_name_H-M_alt 'P m -3 m'
_space_group_IT_number 221
_space_group_name_Hall '-P 4 2 3'
_cell_length_a 3.4391
_cell_length_b 3.4391
_cell_length_c 3.4391
_cell_angle_alpha 90.00
_cell_angle_beta 90.00
_cell_angle_gamma 90.00
loop_
_atom_site_label
_atom_site_type_symbol
_atom_site_fract_x
_atom_site_fract_y
_atom_site_fract_z
Ag1 Ag 0.0000 0.0000 0.0000
H1 H 0.0000 0.5000 0.5000
Rh1 Rh 0.5000 0.5000 0.5000
```


run A takes first place; second place is 0.014 eV/atom up.


Run A
A PBEsol-optimized structure of AgSbH2. Source: the Alexandria database, functional SCAN.

Theoretical density   7.1 g cm⁻³

Structure (CIF):
```
data_AgSbH2
_chemical_formula_sum 'Ag4 Sb4 H8'
_space_group_name_H-M_alt 'I -4 2 d'
_space_group_IT_number 122
_space_group_name_Hall 'I -4 2bw'
_cell_length_a 5.1630
_cell_length_b 5.1630
_cell_length_c 8.0924
_cell_angle_alpha 90.00
_cell_angle_beta 90.00
_cell_angle_gamma 90.00
loop_
_atom_site_label
_atom_site_type_symbol
_atom_site_fract_x
_atom_site_fract_y
_atom_site_fract_z
Ag1 Ag 0.0000 0.0000 0.0000
Sb1 Sb 0.0000 0.0000 0.5000
H1 H 0.1493 0.7500 0.1250
```


Run B
A PBEsol-optimized structure of AgSbH2. Source: the Alexandria database, functional SCAN.

Theoretical density   7.8 g cm⁻³

Structure (CIF):
```
data_AgSbH2
_chemical_formula_sum 'Ag4 Sb4 H8'
_space_group_name_H-M_alt 'F m -3 m'
_space_group_IT_number 225
_space_group_name_Hall '-F 4 2 3'
_cell_length_a 5.8251
_cell_length_b 5.8251
_cell_length_c 5.8251
_cell_angle_alpha 90.00
_cell_angle_beta 90.00
_cell_angle_gamma 90.00
loop_
_atom_site_label
_atom_site_type_symbol
_atom_site_fract_x
_atom_site_fract_y
_atom_site_fract_z
Ag1 Ag 0.0000 0.0000 0.0000
Sb1 Sb 0.0000 0.0000 0.5000
H1 H 0.2500 0.2500 0.2500
```


run A takes first place; second place is 0.302 eV/atom up.